# 1
Below is a relaxed structure of PuMg2MoH8, with properties calculated at the PBE level.

Values from the calculation:
Its electronic total energy is -4.768 eV per atom. Its volume is 8.87 A^3/atom. The space-group type is No. 119. Its calculated density is 6.19 g cm⁻³. The calculation puts the magnetization at 5.54 μB/f.u.

Unit cell a=5.7883 b=5.7883 c=5.7883 alpha=131.53 beta=131.53 gamma=70.98
Closest atoms and distances in Å follow each position.
Positions (direct):
Pu 0.0000 0.0000 0.0000  8 H 2.18
Mg 0.2500 0.7500 0.5000  8 H 2.07
Mg 0.5000 0.5000 0.0000  8 H 2.09
Mo 0.7500 0.2500 0.5000  8 H 1.89
H 0.1032 0.1343 0.5163  1 Mo 1.89, 2 Mg 2.07-2.09, 1 H 2.09
H 0.1032 0.5869 0.9689  1 Mo 1.89, 2 Mg 2.07-2.09, 1 H 2.09
H 0.4131 0.3820 0.5163  1 Mo 1.89, 2 Mg 2.07-2.09, 1 H 2.09
H 0.4131 0.8968 0.0311  1 Mo 1.89, 2 Mg 2.07-2.09, 1 H 2.09
H 0.6180 0.1343 0.0311  1 Mo 1.89, 2 Mg 2.07-2.09, 1 H 2.09
H 0.6180 0.5869 0.4837  1 Mo 1.89, 2 Mg 2.07-2.09, 1 H 2.09
H 0.8657 0.3820 0.9689  1 Mo 1.89, 2 Mg 2.07-2.09, 1 H 2.09
H 0.8657 0.8968 0.4837  1 Mo 1.89, 2 Mg 2.07-2.09, 1 H 2.09

# 2
Below is a relaxed structure of Ba2ErCuO5, with properties calculated at the PBE level.

Values from the calculation:
Its electronic total energy is -6.367 eV per atom. As for the uncorrected formation energy: -2.223 eV per atom. Its volume is 16.88 A^3/atom. The space-group type is No. 36. Its calculated density is 6.40 g cm⁻³. The calculation puts the magnetization at 2.03 μB/f.u.

Unit cell a=7.8295 b=7.8295 c=11.1451 alpha=90.00 beta=90.00 gamma=153.59
Closest atoms and distances in Å follow each position.
Positions (direct):
Ba 0.1160 0.8840 0.5000  7 O 2.74-3.06
Ba 0.1300 0.8700 0.1464  7 O 2.71-3.01
Ba 0.8700 0.1300 0.6464  7 O 2.71-3.01
Ba 0.8840 0.1160 0.0000  7 O 2.74-3.06
Er 0.1997 0.8003 0.8447  3 O 2.13-2.26
Er 0.8003 0.1997 0.3447  3 O 2.13-2.26
Cu 0.4479 0.5521 0.2503  4 O 1.89-1.98
Cu 0.5521 0.4479 0.7503  4 O 1.89-1.98
O 0.0427 0.9573 0.8082  2 Cu 1.91
O 0.2992 0.7008 0.4691  2 Er 2.26
O 0.3223 0.6777 0.2060  1 Cu 1.98
O 0.3384 0.6616 0.8250  1 Er 2.13
O 0.4987 0.5013 0.5975  1 Cu 1.89
O 0.5013 0.4987 0.0975  1 Cu 1.89
O 0.6616 0.3384 0.3250  1 Er 2.13
O 0.6777 0.3223 0.7060  1 Cu 1.98
O 0.7008 0.2992 0.9691  2 Er 2.26
O 0.9573 0.0427 0.3082  2 Cu 1.91

# 3
Below is a relaxed structure of CaAsSBr2, with properties calculated at the PBE level.

Values from the calculation:
The calculation puts the relative energy among the computed polymorphs at 0 meV per atom. Its electronic total energy is -3.023 eV per atom. As for the uncorrected formation energy: -0.198 eV per atom. Its volume is 27.25 A^3/atom. The space-group type is No. 123. Its calculated density is 3.74 g cm⁻³. The calculation puts the magnetization at 0.33 μB/f.u.

Unit cell a=5.2335 b=5.2335 c=4.9740 alpha=90.00 beta=90.00 gamma=90.00
Closest atoms and distances in Å follow each position.
Positions (direct):
Ca 0.0000 0.0000 0.0000  8 Br 3.61, 4 As 3.70
As 0.5000 0.5000 0.0000  2 S 2.49
S 0.5000 0.5000 0.5000  2 As 2.49, 4 Br 2.62
Br 0.0000 0.5000 0.5000  2 S 2.62
Br 0.5000 0.0000 0.5000  2 S 2.62

# 4
Below is a relaxed structure of Ti7GaCo2, with properties calculated at the PBE level.

Values from the calculation:
Its electronic total energy is -7.009 eV per atom. Its volume is 18.53 A^3/atom. The space-group type is No. 65. Its calculated density is 4.68 g cm⁻³. The calculation puts the formation enthalpy at 0 K at 0.24 eV/atom. The calculation puts the magnetization at 1.07 μB/f.u.

Unit cell a=6.9141 b=6.9141 c=4.3213 alpha=90.00 beta=90.00 gamma=116.25
Closest atoms and distances in Å follow each position.
Positions (direct):
Ti 0.0000 0.0000 0.0000  2 Co 2.37
Ti 0.1909 0.4375 0.0000  2 Co 2.46-2.47, 2 Ti 2.71
Ti 0.2295 0.7705 0.5000  2 Co 2.19
Ti 0.4375 0.1909 0.0000  2 Co 2.46-2.47, 2 Ti 2.71
Ti 0.5625 0.8091 0.0000  2 Co 2.46-2.47, 2 Ti 2.71
Ti 0.7705 0.2295 0.5000  2 Co 2.19
Ti 0.8091 0.5625 0.0000  2 Co 2.46-2.47, 2 Ti 2.71
Ga 0.5000 0.5000 0.5000  10 Ti 2.93-3.18
Co 0.2017 0.7983 0.0000  3 Ti 2.19-2.37
Co 0.7983 0.2017 0.0000  3 Ti 2.19-2.37

Please write out number 4 again, unchanged.
Below is a relaxed structure of Ti7GaCo2, with properties calculated at the PBE level.

Values from the calculation:
Its electronic total energy is -7.009 eV per atom. Its volume is 18.53 A^3/atom. The space-group type is No. 65. Its calculated density is 4.68 g cm⁻³. The calculation puts the formation enthalpy at 0 K at 0.24 eV/atom. The calculation puts the magnetization at 1.07 μB/f.u.

Unit cell a=6.9141 b=6.9141 c=4.3213 alpha=90.00 beta=90.00 gamma=116.25
Closest atoms and distances in Å follow each position.
Positions (direct):
Ti 0.0000 0.0000 0.0000  2 Co 2.37
Ti 0.1909 0.4375 0.0000  2 Co 2.46-2.47, 2 Ti 2.71
Ti 0.2295 0.7705 0.5000  2 Co 2.19
Ti 0.4375 0.1909 0.0000  2 Co 2.46-2.47, 2 Ti 2.71
Ti 0.5625 0.8091 0.0000  2 Co 2.46-2.47, 2 Ti 2.71
Ti 0.7705 0.2295 0.5000  2 Co 2.19
Ti 0.8091 0.5625 0.0000  2 Co 2.46-2.47, 2 Ti 2.71
Ga 0.5000 0.5000 0.5000  10 Ti 2.93-3.18
Co 0.2017 0.7983 0.0000  3 Ti 2.19-2.37
Co 0.7983 0.2017 0.0000  3 Ti 2.19-2.37

> The lowest volume belongs to which entry?

PuMg2MoH8

What did the fourth record say?
Below is a relaxed structure of Ti7GaCo2, with properties calculated at the PBE level.

Values from the calculation:
Its electronic total energy is -7.009 eV per atom. Its volume is 18.53 A^3/atom. The space-group type is No. 65. Its calculated density is 4.68 g cm⁻³. The calculation puts the formation enthalpy at 0 K at 0.24 eV/atom. The calculation puts the magnetization at 1.07 μB/f.u.

Unit cell a=6.9141 b=6.9141 c=4.3213 alpha=90.00 beta=90.00 gamma=116.25
Closest atoms and distances in Å follow each position.
Positions (direct):
Ti 0.0000 0.0000 0.0000  2 Co 2.37
Ti 0.1909 0.4375 0.0000  2 Co 2.46-2.47, 2 Ti 2.71
Ti 0.2295 0.7705 0.5000  2 Co 2.19
Ti 0.4375 0.1909 0.0000  2 Co 2.46-2.47, 2 Ti 2.71
Ti 0.5625 0.8091 0.0000  2 Co 2.46-2.47, 2 Ti 2.71
Ti 0.7705 0.2295 0.5000  2 Co 2.19
Ti 0.8091 0.5625 0.0000  2 Co 2.46-2.47, 2 Ti 2.71
Ga 0.5000 0.5000 0.5000  10 Ti 2.93-3.18
Co 0.2017 0.7983 0.0000  3 Ti 2.19-2.37
Co 0.7983 0.2017 0.0000  3 Ti 2.19-2.37